DFT (PBE-GGA) results for a relaxed PmSc5Cu6 crystal.

```
12
Lattice="4.507 0.023 -1.308 -0.903 5.777 -3.009 -0.063 0.477 8.123" Properties=species:S:1:pos:R:3 pbc="T T T"
Sc 2.835 1.140 1.339
Sc 1.154 2.241 3.958
Sc -0.451 2.889 -1.504
Sc 2.387 4.036 -0.152
Sc 0.706 5.137 2.468
Cu 3.173 3.581 2.524
Cu 3.600 0.844 3.949
Cu 1.601 4.182 -2.825
Cu 1.940 2.095 6.632
Cu -0.059 5.433 -0.143
Cu 0.368 2.696 1.283
Pm 0.000 0.000 0.000
```

Summary:
formation enthalpy at 0 K	-239	meV/atom
density of states at the Fermi level	8.0	states/eV per cell
symmetry	No. 12